# Li2InAs2, single point on PBEsol structure, DFT meta-GGA SCAN
data_Li2InAs2
_cell_length_a 4.310
_cell_length_b 4.310
_cell_length_c 10.374
_cell_angle_alpha 90.00
_cell_angle_beta 90.00
_cell_angle_gamma 90.00
_space_group_name_H-M_alt 'I 4/m m m'
_space_group_IT_number 139
_space_group_name_Hall '-I 4 2'
loop_
_atom_site_label
_atom_site_fract_x
_atom_site_fract_y
_atom_site_fract_z
Li1 0.000 0.500 0.250
In1 0.000 0.000 0.000
As1 0.000 0.000 0.386
# energy above the lowest structure with this stoichiometry = 84 meV/atom
# energy relative to the elements = -0.33 eV/atom